P.
A plane-wave DFT calculation with PBE-GGA was carried out for MgZr2Sc2 after structural relaxation.

Values from the calculation:
* symmetry: P4/mbm, No. 127
* total magnetic moment: 0.000 μB/atom

a = 8.2059 Å, b = 8.2059 Å, c = 3.5632 Å
α = 90.00°, β = 90.00°, γ = 90.00°
Fractional coordinates of all 10 atoms:
Mg: 0.0000 0.0000 0.0000
Mg: 0.5000 0.5000 0.0000
Zr: 0.1278 0.3722 0.0000
Zr: 0.3722 0.8722 0.0000
Zr: 0.6278 0.1278 0.0000
Zr: 0.8722 0.6278 0.0000
Sc: 0.1686 0.6686 0.5000
Sc: 0.3314 0.1686 0.5000
Sc: 0.6686 0.8314 0.5000
Sc: 0.8314 0.3314 0.5000

***

Q.
A plane-wave DFT calculation with PBE-GGA was carried out for MgZr2Sc2 after structural relaxation.

Values from the calculation:
* symmetry: P2_1/m, No. 11
* total magnetic moment: 0.000 μB/atom

a = 7.7016 Å, b = 3.1391 Å, c = 10.3085 Å
α = 90.00°, β = 107.65°, γ = 90.00°
Fractional coordinates of all 10 atoms:
Mg: 0.1968 0.2500 0.0550
Mg: 0.8032 0.7500 0.9450
Zr: 0.1905 0.7500 0.5706
Zr: 0.4239 0.2500 0.8360
Zr: 0.5761 0.7500 0.1640
Zr: 0.8095 0.2500 0.4294
Sc: 0.0096 0.7500 0.2546
Sc: 0.3919 0.2500 0.3658
Sc: 0.6081 0.7500 0.6342
Sc: 0.9904 0.2500 0.7454

***

Most stable structure: Q